1.
Below is an optimized crystal structure of Pm4Pd2O, with properties calculated at the GGA-PBE level.

```
7
Lattice="-2.633 1.809 3.579 -3.700 -2.747 -1.333 5.552 -4.916 3.354" Properties=species:S:1:pos:R:3 pbc="T T T"
Pd -2.554 -1.851 2.272
Pd 1.774 -4.003 3.328
Pm -1.316 0.905 1.789
Pm 0.880 -1.986 1.651
Pm -1.850 -1.374 -0.666
Pm -1.660 -3.868 3.949
O 0.000 0.000 0.000
```

Output
For the distance to the lowest polymorph of the same formula, the calculation gives 0.029 eV/atom. As for the magnetic moment: 0.000 μB/cell. As for the crystal system: tetragonal. Its space group is No. 139. For the density of states at the Fermi level, the calculation gives 6.401 states/eV/f.u. The value obtained for the energy relative to the elements, uncorrected is -1.19 eV/atom.

2.
Below is an optimized crystal structure of Pm12Pd3O5, with properties calculated at the GGA-PBE level.

```
80
Lattice="13.593 0.000 0.000 -4.531 12.816 0.000 -4.531 -6.408 11.099" Properties=species:S:1:pos:R:3 pbc="T T T"
Pm 3.994 -1.774 3.493
Pm 6.259 7.116 5.760
Pm 7.879 -4.521 9.835
Pm 3.004 4.613 1.002
Pm 10.246 3.053 3.283
Pm 5.613 9.763 3.283
Pm -5.715 3.355 7.816
Pm 6.888 11.478 0.210
Pm 5.269 -1.795 10.097
Pm 7.334 -1.066 2.266
Pm 3.449 5.242 4.547
Pm 2.174 8.760 4.496
Pm -2.357 -5.070 10.888
Pm 1.527 1.795 10.097
Pm -1.728 -0.708 5.339
Pm 1.527 -1.766 10.045
Pm 2.357 -2.353 6.603
Pm 1.082 1.166 6.552
Pm -0.537 1.065 2.266
Pm 8.970 1.338 0.210
Pm 9.800 6.438 2.056
Pm -2.357 2.717 6.814
Pm -3.347 10.929 1.264
Pm -1.527 0.030 9.043
Pm 0.092 4.055 4.496
Pm 8.525 0.708 5.339
Pm 2.803 1.774 3.493
Pm -5.269 -0.030 9.043
Pm 5.613 1.887 1.264
Pm -1.184 7.573 4.547
Pm 6.888 3.691 4.285
Pm 5.068 5.342 8.832
Pm 5.715 -1.166 6.552
Pm -1.082 -3.355 7.816
Pm 1.728 4.634 7.605
Pm 0.537 8.182 7.605
Pm 9.154 -2.717 6.814
Pm -4.623 9.125 4.285
Pm 4.439 2.353 6.603
Pm -2.803 7.473 8.832
Pm -0.738 4.642 1.054
Pm 3.004 8.174 1.054
Pm -4.439 5.070 10.888
Pm -3.994 5.700 5.760
Pm 6.058 6.378 2.056
Pm -1.082 4.521 9.835
Pm -0.738 8.203 1.002
Pm 5.269 1.766 10.045
O -1.133 0.801 6.937
O 7.929 -0.801 6.937
O 4.531 6.408 0.000
O 2.266 3.204 5.549
O -3.398 7.209 4.162
O -4.531 3.204 5.549
O -1.133 10.413 1.387
O 6.797 0.000 0.000
O 4.531 -3.204 5.549
O 1.133 4.005 9.712
O -2.266 6.408 0.000
O -1.133 3.204 2.775
O 3.398 2.403 1.387
O 1.133 -3.204 8.324
O 3.398 9.612 2.775
O 5.664 -4.005 9.712
O -2.266 -3.204 5.549
O 5.664 3.204 8.324
O 5.664 5.607 4.162
O 0.000 0.000 0.000
Pd -1.133 5.607 6.937
Pd 1.133 -0.801 4.162
Pd 7.929 4.005 1.387
Pd -3.398 -2.403 9.712
Pd -5.664 6.408 8.324
Pd 3.398 0.000 8.324
Pd 1.133 6.408 2.775
Pd 5.664 0.801 4.162
Pd 7.929 8.811 1.387
Pd 10.195 0.000 2.775
Pd 3.398 7.209 6.937
Pd -3.398 2.403 9.712
```

Output
As for the magnetic moment: 0.004 μB/cell. As for the crystal system: cubic. Its space group is No. 230. For the density of states at the Fermi level, the calculation gives 21.807 states/eV/f.u. The value obtained for the energy relative to the elements, uncorrected is -1.55 eV/atom.